[1]
First-principles (PBE) data for crystalline BaPaF2 at its relaxed geometry, as listed in Alexandria via LeMat-Bulk.

Output
As for the total energy: -67.3 eV for the cell shown. The formation energy (no corrections) is -1.814 eV/atom. The density of states at the Fermi level is 5.07 states/eV/f.u.

abc: 3.4722 3.4722 26.1267
angles: 90.00 90.00 120.00
Closest atoms and distances in Å follow each position.
Space group R-3m (No. 166, hexagonal axes)
Inequivalent atoms, fractional coordinates:
Ba 0.0000 0.0000 0.0000 (multiplicity 3)  2 F 2.68
Pa 0.0000 0.0000 0.5000 (multiplicity 3)  6 F 2.61
F 0.0000 0.0000 0.1026 (multiplicity 6)  3 Pa 2.61, 1 Ba 2.68



[2]
First-principles (PBE) data for crystalline V5Te12Pt at its relaxed geometry, as listed in Alexandria via LeMat-Bulk.

Output
As for the total energy: -189.1 eV for the cell shown. The formation energy (no corrections) is -0.290 eV/atom. The density of states at the Fermi level is 11.92 states/eV/f.u.

abc: 6.4198 11.0468 14.2950
angles: 90.00 98.62 90.00
Closest atoms and distances in Å follow each position.
Space group C2/m (No. 12)
Inequivalent atoms, fractional coordinates:
V 0.0000 0.0000 0.0000 (multiplicity 2)  6 Te 2.72-2.73
V 0.0000 0.1580 0.5000 (multiplicity 4)  6 Te 2.70-2.75
V 0.0000 0.3382 0.0000 (multiplicity 4)  6 Te 2.71-2.74
Te 0.1264 0.1678 0.8808 (multiplicity 8)  3 V 2.72-2.74
Te 0.1287 0.5000 0.8783 (multiplicity 4)  3 V 2.71-2.73
Te 0.2038 0.3312 0.6176 (multiplicity 8)  1 Pt 2.71, 2 V 2.72-2.75
Te 0.2148 0.0000 0.6227 (multiplicity 4)  2 V 2.70, 1 Pt 2.72
Pt 0.0000 0.5000 0.5000 (multiplicity 2)  6 Te 2.71-2.72